Record 1
The following is a PBE calculation of crystalline Pm2SmMgN at its relaxed geometry, from Alexandria.

- Symmetry: No. 123
- Crystal system: tetragonal
- Mass density: 6.26 g/cm³
- Calculated total energy: -0.401 Ry/atom

Unit cell a=4.996 b=5.041 c=5.041 alpha=90.00 beta=90.00 gamma=90.00
Sites, in units of the cell vectors:
Pm (0.000, 0.000, 0.500)
Pm (0.000, 0.500, 0.000)
Sm (0.500, 0.000, 0.000)
Mg (0.500, 0.500, 0.500)
N (0.000, 0.000, 0.000)



Record 2
The following is a PBE calculation of crystalline PmSm2MgN at its relaxed geometry, from Alexandria.

- Symmetry: No. 123
- Crystal system: tetragonal
- Mass density: 6.37 g/cm³
- Calculated total energy: -0.401 Ry/atom

Unit cell a=5.044 b=5.002 c=5.002 alpha=90.00 beta=90.00 gamma=90.00
Sites, in units of the cell vectors:
Pm (0.500, 0.000, 0.000)
Sm (0.000, 0.000, 0.500)
Sm (0.000, 0.500, 0.000)
Mg (0.500, 0.500, 0.500)
N (0.000, 0.000, 0.000)



Record 3
The following is a PBE calculation of crystalline PmMgTa4N8 at its relaxed geometry, from Alexandria.

- Symmetry: No. 160
- Crystal system: trigonal
- Mass density: 9.11 g/cm³
- Calculated total energy: -0.708 Ry/atom

Unit cell a=6.341 b=6.341 c=6.411 alpha=60.36 beta=60.36 gamma=60.00
Sites, in units of the cell vectors:
Pm (0.377, 0.377, 0.869)
Mg (0.999, 0.999, 0.004)
Ta (0.623, 0.623, 0.130)
Ta (0.004, 0.485, 0.507)
Ta (0.485, 0.004, 0.507)
Ta (0.004, 0.004, 0.507)
N (0.238, 0.807, 0.716)
N (0.807, 0.238, 0.716)
N (0.238, 0.238, 0.716)
N (0.234, 0.234, 0.298)
N (0.747, 0.242, 0.264)
N (0.242, 0.747, 0.264)
N (0.747, 0.747, 0.264)
N (0.755, 0.755, 0.736)



Record 4
The following is a PBE calculation of crystalline Tb2PmMgN at its relaxed geometry, from Alexandria.

- Symmetry: No. 123
- Crystal system: tetragonal
- Mass density: 6.88 g/cm³
- Calculated total energy: -0.401 Ry/atom

Unit cell a=5.064 b=4.887 c=4.887 alpha=90.00 beta=90.00 gamma=90.00
Sites, in units of the cell vectors:
Tb (0.000, 0.000, 0.500)
Tb (0.000, 0.500, 0.000)
Pm (0.500, 0.000, 0.000)
Mg (0.500, 0.500, 0.500)
N (0.000, 0.000, 0.000)